No. 1
VASP calculation (PBEsol) on a geometry-optimized ScAgF3 structure.

Properties
* ΔE_f (raw): -6.5 eV/f.u.
* SG: Pm-3m

Cell lengths 4.338, 4.338, 4.338 Å; angles 90.00, 90.00, 90.00 degrees
Fractional coordinates of all 5 atoms:
Sc  0.000  0.000  0.000
Ag  0.500  0.500  0.500
F  0.000  0.500  0.500
F  0.500  0.000  0.500
F  0.500  0.500  0.000



No. 2
VASP calculation (PBEsol) on a geometry-optimized ZrBeOsBr2 structure.

Properties
* ΔE_f (raw): 5.6 eV/f.u.
* SG: P4/mmm

Cell lengths 4.923, 4.923, 5.042 Å; angles 90.00, 90.00, 90.00 degrees
Fractional coordinates of all 5 atoms:
Zr  0.000  0.000  0.000
Be  0.500  0.500  0.000
Os  0.000  0.000  0.500
Br  0.000  0.500  0.500
Br  0.500  0.000  0.500



No. 3
VASP calculation (PBEsol) on a geometry-optimized HfTeI2 structure.

Properties
* ΔE_f (raw): -1.7 eV/f.u.
* SG: I-42d

Cell lengths 7.689, 7.689, 7.689 Å; angles 97.31, 97.31, 138.20 degrees
Fractional coordinates of all 8 atoms:
Hf  0.000  0.000  0.000
Hf  0.750  0.250  0.500
Te  0.250  0.750  0.500
Te  0.500  0.500  0.000
I  0.375  0.004  0.129
I  0.754  0.625  0.629
I  0.875  0.246  0.871
I  0.996  0.125  0.371



Number 1: final energy -4.441 eV per atom, theoretical density 4.3 g cm⁻³. Number 2: final energy -4.692 eV per atom, theoretical density 6.1 g cm⁻³. Number 3: final energy -4.817 eV per atom, theoretical density 6.6 g cm⁻³.